Entry from Alexandria: a crystal of BiHO2 relaxed with PBEsol (meta-GGA SCAN).

## Properties
**ρ**: 7376 kg/m³
**Electronic total energy**: -24.59 eV per atom

Cell: 5.148 5.148 5.148 Å, 41.65 41.65 41.65°
Fractional positions:
Bi  0.000  0.000  0.000
H  0.500  0.500  0.500
O  0.414  0.414  0.414
O  0.586  0.586  0.586

Entry from Alexandria: a crystal of Sb relaxed with PBEsol (meta-GGA SCAN).

## Properties
**ρ**: 7119 kg/m³
**Distance to the lowest polymorph of the same formula**: 97 meV/atom
**Electronic total energy**: -37.16 eV per atom
**Energy relative to the elements, uncorrected**: 0.10 eV/f.u.

Cell: 6.389 6.389 4.347 Å, 90.00 90.00 140.18°
Fractional positions:
Sb  0.129  0.871  0.750
Sb  0.370  0.630  0.750
Sb  0.630  0.370  0.250
Sb  0.871  0.129  0.250

Q: The lowest electronic total energy belongs to which entry?
A: Sb

Q: Which of these has the highest ρ?
A: BiHO2

Q: Look up the electronic total energy of the first one.
A: -24.59 eV per atom